(1)
This record from Alexandria via LeMat-Bulk describes a relaxed structure of Ba2InCo. The functional is PBE.

```
data_Ba2InCo
_chemical_formula_sum 'Ba2 In1 Co1'
_space_group_name_H-M_alt 'P 4/m m m'
_space_group_IT_number 123
_space_group_name_Hall '-P 4 2'
_cell_length_a 5.811
_cell_length_b 5.811
_cell_length_c 4.116
_cell_angle_alpha 90.00
_cell_angle_beta 90.00
_cell_angle_gamma 90.00
loop_
_atom_site_label
_atom_site_type_symbol
_atom_site_fract_x
_atom_site_fract_y
_atom_site_fract_z
Ba1 Ba 0.000 0.500 0.000
In1 In 0.000 0.000 0.500
Co1 Co 0.500 0.500 0.500
```

Formation enthalpy at 0 K   238 meV/atom

(2)
This record from Alexandria via LeMat-Bulk describes a relaxed structure of Pr2Er4Al. The functional is PBE.

```
data_Pr2Er4Al
_chemical_formula_sum 'Pr6 Er12 Al3'
_space_group_name_H-M_alt 'R -3 m'
_space_group_IT_number 166
_space_group_name_Hall '-R 3 2"'
_cell_length_a 3.6005
_cell_length_b 3.6005
_cell_length_c 57.5887
_cell_angle_alpha 90.00
_cell_angle_beta 90.00
_cell_angle_gamma 120.00
loop_
_atom_site_label
_atom_site_type_symbol
_atom_site_fract_x
_atom_site_fract_y
_atom_site_fract_z
Pr1 Pr 0.0000 0.0000 0.1948
Er1 Er 0.0000 0.0000 0.0881
Er2 Er 0.0000 0.0000 0.2948
Al1 Al 0.0000 0.0000 0.0000
```

Formation enthalpy at 0 K   -28 meV/atom

(3)
This record from Alexandria via LeMat-Bulk describes a relaxed structure of Nb2GaS. The functional is PBE.

```
data_Nb2GaS
_chemical_formula_sum 'Nb8 Ga4 S4'
_space_group_name_H-M_alt 'I -4 2 d'
_space_group_IT_number 122
_space_group_name_Hall 'I -4 2bw'
_cell_length_a 3.956
_cell_length_b 3.956
_cell_length_c 18.416
_cell_angle_alpha 90.00
_cell_angle_beta 90.00
_cell_angle_gamma 90.00
loop_
_atom_site_label
_atom_site_type_symbol
_atom_site_fract_x
_atom_site_fract_y
_atom_site_fract_z
Nb1 Nb 0.245 0.250 0.125
Ga1 Ga 0.000 0.000 0.500
S1 S 0.000 0.000 0.000
```

Excess energy over the best structure of this formula in the dataset   0.91 eV per formula unit
Formation energy without anion corrections   51 meV/atom

(4)
This record from Alexandria via LeMat-Bulk describes a relaxed structure of HgP2O6. The functional is PBE.

```
data_HgP2O6
_chemical_formula_sum 'Hg8 P16 O48'
_space_group_name_H-M_alt 'P b c a'
_space_group_IT_number 61
_space_group_name_Hall '-P 2ac 2ab'
_cell_length_a 7.311
_cell_length_b 9.987
_cell_length_c 13.998
_cell_angle_alpha 90.00
_cell_angle_beta 90.00
_cell_angle_gamma 90.00
loop_
_atom_site_label
_atom_site_type_symbol
_atom_site_fract_x
_atom_site_fract_y
_atom_site_fract_z
Hg1 Hg 0.040 0.004 0.206
P1 P 0.076 0.702 0.098
P2 P 0.181 0.715 0.897
O1 O 0.019 0.697 0.378
O2 O 0.132 0.603 0.175
O3 O 0.134 0.653 0.605
O4 O 0.143 0.189 0.414
O5 O 0.152 0.642 0.999
O6 O 0.230 0.606 0.827
```

Formation energy without anion corrections   -1733 meV/atom

(5)
This record from Alexandria via LeMat-Bulk describes a relaxed structure of K2CeF5. The functional is PBE.

```
data_K2CeF5
_chemical_formula_sum 'K4 Ce2 F10'
_space_group_name_H-M_alt 'C 1 m 1'
_space_group_IT_number 8
_space_group_name_Hall 'C -2y'
_cell_length_a 10.260
_cell_length_b 9.213
_cell_length_c 6.631
_cell_angle_alpha 90.00
_cell_angle_beta 122.71
_cell_angle_gamma 90.00
loop_
_atom_site_label
_atom_site_type_symbol
_atom_site_fract_x
_atom_site_fract_y
_atom_site_fract_z
K1 K 0.000 0.224 0.000
Ce1 Ce 0.165 0.000 0.695
F1 F 0.084 0.000 0.305
F2 F 0.208 0.218 0.870
F3 F 0.424 0.000 0.881
F4 F 0.454 0.500 0.718
```

Excess energy over the best structure of this formula in the dataset   1.13 eV per formula unit
Formation energy without anion corrections   -3270 meV/atom

(6)
This record from Alexandria via LeMat-Bulk describes a relaxed structure of Ce2Ta2N5. The functional is PBE.

```
data_Ce2Ta2N5
_chemical_formula_sum 'Ce4 Ta4 N10'
_space_group_name_H-M_alt 'C 1 2/m 1'
_space_group_IT_number 12
_space_group_name_Hall '-C 2y'
_cell_length_a 11.322
_cell_length_b 4.228
_cell_length_c 5.641
_cell_angle_alpha 90.00
_cell_angle_beta 113.29
_cell_angle_gamma 90.00
loop_
_atom_site_label
_atom_site_type_symbol
_atom_site_fract_x
_atom_site_fract_y
_atom_site_fract_z
Ce1 Ce 0.107 0.000 0.338
Ta1 Ta 0.155 0.500 0.884
N1 N 0.000 0.500 0.000
N2 N 0.147 0.000 0.886
N3 N 0.170 0.500 0.552
```

Excess energy over the best structure of this formula in the dataset   0.00 eV per formula unit
Formation energy without anion corrections   -1294 meV/atom

(7)
This record from Alexandria via LeMat-Bulk describes a relaxed structure of DyNi12Ge4. The functional is PBE.

```
data_DyNi12Ge4
_chemical_formula_sum 'Dy2 Ni24 Ge8'
_space_group_name_H-M_alt 'I m -3'
_space_group_IT_number 204
_space_group_name_Hall '-I 2 2 3'
_cell_length_a 7.913
_cell_length_b 7.913
_cell_length_c 7.913
_cell_angle_alpha 90.00
_cell_angle_beta 90.00
_cell_angle_gamma 90.00
loop_
_atom_site_label
_atom_site_type_symbol
_atom_site_fract_x
_atom_site_fract_y
_atom_site_fract_z
Dy1 Dy 0.000 0.000 0.000
Ni1 Ni 0.000 0.153 0.354
Ge1 Ge 0.250 0.250 0.250
```

Formation enthalpy at 0 K   114 meV/atom

(8)
This record from Alexandria via LeMat-Bulk describes a relaxed structure of TaTl2PbS4. The functional is PBE.

```
data_TaTl2PbS4
_chemical_formula_sum 'Ta2 Tl4 Pb2 S8'
_space_group_name_H-M_alt 'I -4'
_space_group_IT_number 82
_space_group_name_Hall 'I -4'
_cell_length_a 6.719
_cell_length_b 6.719
_cell_length_c 12.433
_cell_angle_alpha 90.00
_cell_angle_beta 90.00
_cell_angle_gamma 90.00
loop_
_atom_site_label
_atom_site_type_symbol
_atom_site_fract_x
_atom_site_fract_y
_atom_site_fract_z
Ta1 Ta 0.000 0.000 0.000
Tl1 Tl 0.000 0.000 0.500
Tl2 Tl 0.000 0.500 0.250
Pb1 Pb 0.000 0.500 0.750
S1 S 0.182 0.213 0.893
```

Formation energy without anion corrections   -493 meV/atom

Number 1: total magnetization 1.40 μB per formula unit, total energy -3.185 eV per atom. Number 2: total magnetization 0.18 μB per formula unit, total energy -4.536 eV per atom. Number 3: total magnetization 0.00 μB per formula unit, total energy -6.773 eV per atom. Number 4: total magnetization 0.00 μB per formula unit, total energy -6.274 eV per atom. Number 5: total magnetization 1.00 μB per formula unit, total energy -5.456 eV per atom. Number 6: total magnetization 1.08 μB per formula unit, total energy -9.872 eV per atom. Number 7: total magnetization 0.00 μB per formula unit, total energy -5.324 eV per atom. Number 8: total magnetization 0.00 μB per formula unit, total energy -5.094 eV per atom.